Crystalline LiPdWN2 at its relaxed geometry. Source: Alexandria, functional PBE-GGA.

Unit cell a=3.7431 b=4.0739 c=3.7431 alpha=90.00 beta=90.00 gamma=90.00
Fractional coordinates of all 5 atoms:
N 0.5000 0.0000 0.0000
N 0.0000 0.0000 0.5000
W 0.0000 0.5000 0.0000
Pd 0.5000 0.5000 0.5000
Li 0.0000 0.0000 0.0000

- N(E_F): 3.29 states/eV per cell
- Final energy: -5.31 eV per atom
- SG: P4/mmm (123)
- Raw formation energy: 2.04 eV/atom